Entry 1:
VASP calculation (PBE with a Hubbard U) on a geometry-optimized BaFeIO2 structure.

Unit cell a=4.457 b=4.457 c=5.274 alpha=90.00 beta=90.00 gamma=90.00
Last column: magnetic moment on the atom in μB.
Sites, in units of the cell vectors:
1 Fe 0.000 0.000 0.000  4.08
2 O 0.500 0.000 0.000  0.34
3 I 0.000 0.000 0.500  0.08
4 O 0.000 0.500 0.000  0.34
5 Ba 0.500 0.500 0.500  -0.01

Properties
DOS(E_F)	0.58	states/eV per cell
energy above the lowest structure with this stoichiometry	4.17	eV per formula unit
calculated volume	104.8	Å³/cell

***

Entry 2:
VASP calculation (PBE with a Hubbard U) on a geometry-optimized Li4Ni7O2F14 structure.

Unit cell a=5.931 b=5.931 c=10.572 alpha=73.56 beta=73.56 gamma=61.39
Last column: magnetic moment on the atom in μB.
Sites, in units of the cell vectors:
1 Li 0.921 0.921 0.211  0.00
2 O 0.863 0.863 0.407  0.07
3 F 0.367 0.898 0.366  0.07
4 F 0.134 0.134 0.122  0.07
5 F 0.607 0.109 0.129  0.06
6 F 0.891 0.393 0.871  0.06
7 F 0.393 0.891 0.871  0.06
8 F 0.633 0.102 0.634  0.07
9 F 0.640 0.640 0.108  0.05
10 F 0.625 0.625 0.633  0.07
11 Ni 0.260 0.260 0.243  1.82
12 Ni 0.500 0.000 0.000  1.83
13 Li 0.574 0.574 0.297  0.00
14 Ni 0.000 0.000 0.500  1.79
15 Ni 0.000 0.500 0.000  1.83
16 F 0.898 0.367 0.366  0.07
17 Ni 0.740 0.740 0.757  1.82
18 F 0.360 0.360 0.892  0.05
19 Li 0.079 0.079 0.789  0.00
20 F 0.102 0.633 0.634  0.07
21 F 0.375 0.375 0.367  0.07
22 O 0.137 0.137 0.593  0.07
23 Li 0.426 0.426 0.703  0.00
24 Ni 0.500 0.000 0.500  1.79
25 Ni 0.000 0.500 0.500  1.79
26 F 0.866 0.866 0.878  0.07
27 F 0.109 0.607 0.129  0.06

Properties
DOS(E_F)	0.00	states/eV per cell
total energy	-4.473	eV/atom
calculated volume	308.3	Å³/cell